This record from the Alexandria database describes crystalline VCO2 at its relaxed geometry. The functional is PBE with a Hubbard U.

The final energy comes out at -24.720 eV per formula unit.

It has space group I-42d (No. 122), with a = 5.074 Å, b = 5.074 Å, c = 7.907 Å, α = 90.00°, β = 90.00° and γ = 90.00°. The asymmetric unit holds V at (0.000, 0.000, 0.000), C at (0.000, 0.000, 0.500) and O at (0.206, 0.250, 0.125).